VASP calculation (PBE+U) on a relaxed structure of HfCr2SiO6.

abc: 5.3051 5.1676 5.4652
angles: 61.38 60.93 59.18
Last column: nearest neighbours and their distance in Å.
Sites, in units of the cell vectors:
Hf  0.8244  0.8036  0.5568  5 O 2.01-2.19
Cr  0.5274  0.5303  0.4082  4 O 2.10-2.17
Cr  0.0248  0.0211  0.9174  5 O 2.09-2.28
Si  0.3192  0.3108  0.0470  5 O 1.75-1.88
O  0.5897  0.2055  0.2230  1 Si 1.82
O  0.2037  0.9809  0.2711  1 Si 1.77
O  0.0112  0.5695  0.2466  1 Si 1.75
O  0.4416  0.6791  0.7565  1 Si 1.98, 1 Hf 2.06, 2 Cr 2.09-2.15
O  0.6384  0.1170  0.7759  1 Si 1.82, 1 Hf 2.03
O  0.0812  0.4438  0.8128  1 Si 1.88, 1 Hf 2.01

Calculated values
- uncorrected energy (eV per formula unit) = -83.80
- magnetic moment (μB per formula unit) = 8.00
- space-group type = P1